A plane-wave DFT calculation with PBE was carried out for a relaxed structure of Tl2IrBr.

Geometry as extended XYZ:
```
8
Lattice="-5.994 0.430 2.273 -0.877 -6.265 -1.125 -1.082 -4.412 7.061" Properties=species:S:1:pos:R:3 pbc="T T T"
Tl -3.320 -5.010 5.814
Tl -4.593 -1.584 3.222
Tl -1.102 -4.998 1.169
Tl -6.892 -8.901 6.213
Br -3.435 -2.917 0.574
Br -2.697 -6.797 3.255
Ir 0.000 0.000 0.000
Ir -5.256 -3.450 4.954
```

E above lowest polymorph: 0.174 eV/atom
raw formation energy: 0.34 eV/atom